This record from Alexandria describes a relaxed LiEuTmIr crystal. The functional is PBE.

Cell: 4.9527 4.9527 4.9527 Å, 60.00 60.00 60.00°
Closest atoms and distances in Å follow each position.
Fractional coordinates of all 4 atoms:
1 Eu 0.7500 0.7500 0.7500  4 Li 3.03, 4 Ir 3.03
2 Ir 0.5000 0.5000 0.5000  4 Eu 3.03, 4 Tm 3.03
3 Tm 0.2500 0.2500 0.2500  4 Ir 3.03, 4 Li 3.03
4 Li 0.0000 0.0000 0.0000  4 Tm 3.03, 4 Eu 3.03

Calculated values
The space group is No. 216. The total energy comes out at -6.7859 eV per atom. As for the formation enthalpy at 0 K: -0.406 eV/atom. The volume is 21.5 Å³/atom. The value obtained for the magnetization is 7.03 μB/cell.


This record from Alexandria describes a relaxed LiEuZnIr crystal. The functional is PBE.

Cell: 4.7145 4.7145 4.7145 Å, 60.00 60.00 60.00°
Closest atoms and distances in Å follow each position.
Fractional coordinates of all 4 atoms:
1 Eu 0.5000 0.5000 0.5000  4 Ir 2.89, 4 Li 2.89
2 Zn 0.0000 0.0000 0.0000  4 Ir 2.89, 4 Li 2.89
3 Ir 0.7500 0.7500 0.7500  4 Zn 2.89, 4 Eu 2.89
4 Li 0.2500 0.2500 0.2500  4 Zn 2.89, 4 Eu 2.89

Calculated values
The space group is No. 216. The total energy comes out at -5.7705 eV per atom. As for the formation enthalpy at 0 K: -0.190 eV/atom. The volume is 18.5 Å³/atom. The value obtained for the magnetization is 6.92 μB/cell.


This record from Alexandria describes a relaxed EuLuIr2 crystal. The functional is PBE.

Cell: 4.8440 4.8440 4.8440 Å, 60.00 60.00 60.00°
Closest atoms and distances in Å follow each position.
Fractional coordinates of all 4 atoms:
1 Eu 0.0000 0.0000 0.0000  8 Ir 2.97
2 Ir 0.2500 0.2500 0.2500  4 Eu 2.97, 4 Lu 2.97
3 Ir 0.7500 0.7500 0.7500  4 Lu 2.97, 4 Eu 2.97
4 Lu 0.5000 0.5000 0.5000  8 Ir 2.97

Calculated values
The value obtained for the offset from the most stable computed form is 70 meV/atom. The space group is No. 225. The total energy comes out at -8.6470 eV per atom. As for the formation enthalpy at 0 K: -0.518 eV/atom. The volume is 20.1 Å³/atom. The value obtained for the magnetization is 6.64 μB/cell.


This record from Alexandria describes a relaxed EuLuIr2 crystal. The functional is PBE.

Cell: 3.3123 3.3123 7.3715 Å, 90.00 90.00 90.00°
Closest atoms and distances in Å follow each position.
Fractional coordinates of all 4 atoms:
1 Eu 0.5000 0.5000 0.5000  8 Ir 3.10, 4 Eu 3.31
2 Ir 0.0000 0.0000 0.2249  4 Lu 2.87, 4 Eu 3.10
3 Ir 0.0000 0.0000 0.7751  4 Lu 2.87, 4 Eu 3.10
4 Lu 0.5000 0.5000 0.0000  8 Ir 2.87

Calculated values
The value obtained for the offset from the most stable computed form is 0 meV/atom. The space group is No. 123. The total energy comes out at -8.7172 eV per atom. As for the formation enthalpy at 0 K: -0.588 eV/atom. The volume is 20.2 Å³/atom. The value obtained for the magnetization is 6.69 μB/cell.